Record 1
# GGA-PBE Ac6Pm12Pr, relaxed
data_Ac6Pm12Pr
_space_group_name_H-M_alt 'R -3 m'
_space_group_IT_number 166
_space_group_name_Hall '-R 3 2"'
_cell_length_a 14.0021
_cell_length_b 14.0021
_cell_length_c 13.2064
_cell_angle_alpha 90.00
_cell_angle_beta 90.00
_cell_angle_gamma 120.00
loop_
_atom_site_label
_atom_site_fract_x
_atom_site_fract_y
_atom_site_fract_z
_atom_site_occupancy
Ac1 0.0395 0.5197 0.1249 1
Pm1 0.0000 0.2516 0.0000 1
Pm2 0.0935 0.1870 0.7622 1
Pr1 0.0000 0.0000 0.5000 1
# Fermi-level density of states, states/eV per cell: 110.65
# Formation energy from the elements, kJ per mole of atoms: 23.2

=====

Record 2
# GGA-PBE Ac9Pm2Pr, relaxed
data_Ac9Pm2Pr
_space_group_name_H-M_alt 'P 4/m m m'
_space_group_IT_number 123
_space_group_name_Hall '-P 4 2'
_cell_length_a 5.5299
_cell_length_b 5.5299
_cell_length_c 16.5878
_cell_angle_alpha 90.00
_cell_angle_beta 90.00
_cell_angle_gamma 90.00
loop_
_atom_site_label
_atom_site_fract_x
_atom_site_fract_y
_atom_site_fract_z
_atom_site_occupancy
Ac1 0.0000 0.0000 0.0000 1
Ac2 0.0000 0.0000 0.3339 1
Ac3 0.0000 0.5000 0.1675 1
Ac4 0.0000 0.5000 0.5000 1
Pm1 0.5000 0.5000 0.3337 1
Pr1 0.5000 0.5000 0.0000 1
# Fermi-level density of states, states/eV per cell: 20.29
# Formation energy from the elements, kJ per mole of atoms: 2.1

=====

Record 3
# GGA-PBE Ac2Pm3Pr4, relaxed
data_Ac2Pm3Pr4
_space_group_name_H-M_alt 'P 1 21/c 1'
_space_group_IT_number 14
_space_group_name_Hall '-P 2ybc'
_cell_length_a 8.9169
_cell_length_b 8.9598
_cell_length_c 9.1462
_cell_angle_alpha 90.00
_cell_angle_beta 111.40
_cell_angle_gamma 90.00
loop_
_atom_site_label
_atom_site_fract_x
_atom_site_fract_y
_atom_site_fract_z
_atom_site_occupancy
Ac1 0.1746 0.1522 0.0484 1
Pm1 0.2476 0.6738 0.2522 1
Pm2 0.5000 0.0000 0.5000 1
Pr1 0.0839 0.5368 0.8671 1
Pr2 0.4823 0.1375 0.8543 1
# Fermi-level density of states, states/eV per cell: 25.74
# Formation energy from the elements, kJ per mole of atoms: 12.9